(1)
The following is a PBEsol calculation of a geometry-optimized KLi2Bi2 structure, from the Alexandria database.

Calculated values
**Formation energy from the elements**: -0.386 eV/atom
**M_tot**: 0.0 μB/f.u.
**Raw total energy**: -3.114 eV per atom
**DOS(E_F)**: 3.65 states/eV/cell
**ρ**: 5.5 g cm⁻³
**Crystal system**: tetragonal

```
KLi2Bi2
1.0
4.876 0.000 0.000
0.000 4.876 0.000
0.000 0.000 11.957
K Li Bi
2 4 4
Cartesian
0.000 0.000 0.000
2.438 2.438 5.978
0.000 2.438 2.989
0.000 2.438 8.968
2.438 0.000 2.989
2.438 0.000 8.968
0.000 0.000 4.504
0.000 0.000 7.452
2.438 2.438 1.474
2.438 2.438 10.483
```


(2)
The following is a PBEsol calculation of a geometry-optimized BaFe2S4 structure, from the Alexandria database.

Calculated values
**M_tot**: 0.0 μB/f.u.
**Raw total energy**: -6.312 eV per atom
**DOS(E_F)**: 8.17 states/eV/cell
**ρ**: 4.6 g cm⁻³
**Crystal system**: tetragonal
**E_form (uncorrected)**: -0.939 eV/atom

```
BaFe2S4
1.0
7.367 0.000 0.000
0.000 7.367 0.000
0.000 0.000 4.997
Ba Fe S
2 4 8
Cartesian
0.000 0.000 0.000
3.684 3.684 2.498
0.000 3.684 1.249
0.000 3.684 3.747
3.684 0.000 1.249
3.684 0.000 3.747
0.822 2.209 2.498
1.475 4.506 0.000
2.209 6.545 2.498
2.862 1.475 0.000
4.506 5.892 0.000
5.159 0.822 2.498
5.892 2.862 0.000
6.545 5.159 2.498
```


(3)
The following is a PBEsol calculation of a geometry-optimized Sr2Sc structure, from the Alexandria database.

Calculated values
**Formation energy from the elements**: 0.394 eV/atom
**M_tot**: 0.5 μB/f.u.
**Raw total energy**: -3.035 eV per atom
**DOS(E_F)**: 12.03 states/eV/cell
**ρ**: 3.1 g cm⁻³
**Crystal system**: hexagonal

```
Sr2Sc
1.0
6.083 0.000 0.000
-3.041 5.268 0.000
0.000 0.000 7.307
Sr Sc
4 2
Cartesian
0.000 0.000 0.000
0.000 0.000 3.654
0.000 3.512 1.827
3.041 1.756 5.480
0.000 3.512 5.480
3.041 1.756 1.827
```


(4)
The following is a PBEsol calculation of a geometry-optimized Ba4ReTe structure, from the Alexandria database.

Calculated values
**M_tot**: 1.2 μB/f.u.
**Raw total energy**: -3.292 eV per atom
**DOS(E_F)**: 8.98 states/eV/cell
**ρ**: 6.6 g cm⁻³
**Crystal system**: cubic
**E_form (uncorrected)**: 0.950 eV/atom

```
Ba4ReTe
1.0
0.000 4.766 4.766
4.766 0.000 4.766
4.766 4.766 0.000
Ba Re Te
4 1 1
Cartesian
1.187 1.187 1.187
3.579 3.579 1.187
3.579 1.187 3.579
1.187 3.579 3.579
7.149 7.149 7.149
4.766 4.766 4.766
```